1.
# KSn4Pd GGA-PBE optimized geometry
data_KSn4Pd
_symmetry_space_group_name_H-M 'C 1 2/m 1'
_symmetry_Int_Tables_number 12
_cell_length_a 17.642
_cell_length_b 8.558
_cell_length_c 5.577
_cell_angle_alpha 90.00
_cell_angle_beta 108.41
_cell_angle_gamma 90.00
loop_
_symmetry_equiv_pos_as_xyz
'x,y,z'
'-x,-y,-z'
'-x,y,-z'
'x,-y,z'
'x+1/2,y+1/2,z'
'-x+1/2,-y+1/2,-z'
'-x+1/2,y+1/2,-z'
'x+1/2,-y+1/2,z'
loop_
_atom_site_label
_atom_site_fract_x
_atom_site_fract_y
_atom_site_fract_z
K1 0.192 0.000 0.193
Sn1 0.000 0.216 0.000
Sn2 0.105 0.300 0.605
Sn3 0.146 0.500 0.145
Pd1 0.000 0.500 0.251
# Fermi-level density of states: 6.3 states/eV per cell
# ΔH_f (0 K): -0.238 eV per atom

---

2.
# KRb2AgH GGA-PBE optimized geometry
data_KRb2AgH
_symmetry_space_group_name_H-M 'P 4/m m m'
_symmetry_Int_Tables_number 123
_symmetry_space_group_name_Hall '-P 4 2'
_cell_length_a 5.856
_cell_length_b 5.856
_cell_length_c 5.452
_cell_angle_alpha 90.00
_cell_angle_beta 90.00
_cell_angle_gamma 90.00
loop_
_atom_site_label
_atom_site_fract_x
_atom_site_fract_y
_atom_site_fract_z
K1 0.000 0.000 0.000
Rb1 0.000 0.500 0.500
Ag1 0.500 0.500 0.000
H1 0.000 0.000 0.500
# Fermi-level density of states: 3.5 states/eV per cell
# DFT total energy: -9.1 eV for the cell shown

---

3.
# Tm6SbTe3 GGA-PBE optimized geometry
data_Tm6SbTe3
_symmetry_space_group_name_H-M 'P 1 21/m 1'
_symmetry_Int_Tables_number 11
_cell_length_a 11.954
_cell_length_b 4.040
_cell_length_c 12.392
_cell_angle_alpha 90.00
_cell_angle_beta 104.77
_cell_angle_gamma 90.00
loop_
_symmetry_equiv_pos_as_xyz
'x,y,z'
'-x,-y,-z'
'-x,y+1/2,-z'
'x,-y+1/2,z'
loop_
_atom_site_label
_atom_site_fract_x
_atom_site_fract_y
_atom_site_fract_z
Tm1 0.015 0.250 0.353
Tm2 0.077 0.250 0.879
Tm3 0.254 0.750 0.302
Tm4 0.287 0.750 0.767
Tm5 0.383 0.250 0.543
Tm6 0.460 0.750 0.130
Sb1 0.451 0.250 0.315
Te1 0.115 0.250 0.139
Te2 0.175 0.750 0.516
Te3 0.335 0.250 0.962
# Fermi-level density of states: 17.8 states/eV per cell
# Formation energy (no corrections): -881 meV/atom

---

4.
# PmNiGe2Pt2 GGA-PBE optimized geometry
data_PmNiGe2Pt2
_symmetry_space_group_name_H-M 'I 4/m m m'
_symmetry_Int_Tables_number 139
_symmetry_space_group_name_Hall '-I 4 2'
_cell_length_a 3.987
_cell_length_b 3.987
_cell_length_c 15.188
_cell_angle_alpha 90.00
_cell_angle_beta 90.00
_cell_angle_gamma 90.00
loop_
_atom_site_label
_atom_site_fract_x
_atom_site_fract_y
_atom_site_fract_z
Pm1 0.000 0.000 0.000
Ni1 0.000 0.000 0.500
Ge1 0.000 0.000 0.353
Pt1 0.000 0.500 0.250
# Fermi-level density of states: 5.1 states/eV per cell
# ΔH_f (0 K): -0.466 eV per atom

---

5.
# Ba2SiGe GGA-PBE optimized geometry
data_Ba2SiGe
_symmetry_space_group_name_H-M 'A m m 2'
_symmetry_Int_Tables_number 38
_cell_length_a 7.225
_cell_length_b 5.099
_cell_length_c 14.270
_cell_angle_alpha 90.00
_cell_angle_beta 90.00
_cell_angle_gamma 90.00
loop_
_symmetry_equiv_pos_as_xyz
'x,y,z'
'-x,-y,z'
'-x,y,z'
'x,-y,z'
'x,y+1/2,z+1/2'
'-x,-y+1/2,z+1/2'
'-x,y+1/2,z+1/2'
'x,-y+1/2,z+1/2'
loop_
_atom_site_label
_atom_site_fract_x
_atom_site_fract_y
_atom_site_fract_z
Ba1 0.000 0.000 0.000
Ba2 0.000 0.000 0.276
Ba3 0.500 0.000 0.170
Ba4 0.500 0.000 0.449
Si1 0.170 0.000 0.640
Ge1 0.319 0.000 0.808
# Fermi-level density of states: 7.1 states/eV per cell
# Formation energy (no corrections): -494 meV/atom
# Offset from the most stable computed form: 9 meV/atom

---

6.
# La2TbPr6Dy GGA-PBE optimized geometry
data_La2TbPr6Dy
_symmetry_space_group_name_H-M 'C 1 2/c 1'
_symmetry_Int_Tables_number 15
_cell_length_a 9.263
_cell_length_b 15.375
_cell_length_c 10.201
_cell_angle_alpha 90.00
_cell_angle_beta 100.49
_cell_angle_gamma 90.00
loop_
_symmetry_equiv_pos_as_xyz
'x,y,z'
'-x,-y,-z'
'-x,y,-z+1/2'
'x,-y,z+1/2'
'x+1/2,y+1/2,z'
'-x+1/2,-y+1/2,-z'
'-x+1/2,y+1/2,-z+1/2'
'x+1/2,-y+1/2,z+1/2'
loop_
_atom_site_label
_atom_site_fract_x
_atom_site_fract_y
_atom_site_fract_z
La1 0.240 0.048 0.041
Tb1 0.000 0.013 0.750
Pr1 0.068 0.189 0.445
Pr2 0.102 0.399 0.621
Pr3 0.201 0.218 0.811
Dy1 0.000 0.405 0.250
# Fermi-level density of states: 63.3 states/eV per cell
# ΔH_f (0 K): 0.110 eV per atom

---

7.
# PmSm2Cd GGA-PBE optimized geometry
data_PmSm2Cd
_symmetry_space_group_name_H-M 'P 4/m m m'
_symmetry_Int_Tables_number 123
_symmetry_space_group_name_Hall '-P 4 2'
_cell_length_a 3.699
_cell_length_b 3.699
_cell_length_c 9.045
_cell_angle_alpha 90.00
_cell_angle_beta 90.00
_cell_angle_gamma 90.00
loop_
_atom_site_label
_atom_site_fract_x
_atom_site_fract_y
_atom_site_fract_z
Pm1 0.000 0.000 0.000
Sm1 0.500 0.500 0.277
Cd1 0.000 0.000 0.500
# Fermi-level density of states: 4.4 states/eV per cell
# ΔH_f (0 K): -0.148 eV per atom
# Offset from the most stable computed form: 0 meV/atom

---

8.
# V2CrTc2 GGA-PBE optimized geometry
data_V2CrTc2
_symmetry_space_group_name_H-M 'P 4/m b m'
_symmetry_Int_Tables_number 127
_symmetry_space_group_name_Hall '-P 4 2ab'
_cell_length_a 7.116
_cell_length_b 7.116
_cell_length_c 2.938
_cell_angle_alpha 90.00
_cell_angle_beta 90.00
_cell_angle_gamma 90.00
loop_
_atom_site_label
_atom_site_fract_x
_atom_site_fract_y
_atom_site_fract_z
V1 0.154 0.346 0.000
Cr1 0.000 0.000 0.500
Tc1 0.147 0.647 0.500
# Fermi-level density of states: 13.8 states/eV per cell
# ΔH_f (0 K): 0.308 eV per atom
# Offset from the most stable computed form: 28 meV/atom

---

9.
# NdTaB4 GGA-PBE optimized geometry
data_NdTaB4
_symmetry_space_group_name_H-M 'P b a m'
_symmetry_Int_Tables_number 55
_cell_length_a 6.242
_cell_length_b 12.087
_cell_length_c 3.679
_cell_angle_alpha 90.00
_cell_angle_beta 90.00
_cell_angle_gamma 90.00
loop_
_symmetry_equiv_pos_as_xyz
'x,y,z'
'-x,-y,-z'
'-x,-y,z'
'x,y,-z'
'x+1/2,-y+1/2,-z'
'-x+1/2,y+1/2,z'
'-x+1/2,y+1/2,-z'
'x+1/2,-y+1/2,z'
loop_
_atom_site_label
_atom_site_fract_x
_atom_site_fract_y
_atom_site_fract_z
Nd1 0.125 0.151 0.000
Ta1 0.133 0.414 0.000
B1 0.024 0.692 0.500
B2 0.114 0.547 0.500
B3 0.135 0.968 0.500
B4 0.211 0.812 0.500
# Fermi-level density of states: 4.2 states/eV per cell
# ΔH_f (0 K): -0.545 eV per atom

---

10.
# AcGe2Mo GGA-PBE optimized geometry
data_AcGe2Mo
_symmetry_space_group_name_H-M 'P 4/m m m'
_symmetry_Int_Tables_number 123
_symmetry_space_group_name_Hall '-P 4 2'
_cell_length_a 3.437
_cell_length_b 3.437
_cell_length_c 7.092
_cell_angle_alpha 90.00
_cell_angle_beta 90.00
_cell_angle_gamma 90.00
loop_
_atom_site_label
_atom_site_fract_x
_atom_site_fract_y
_atom_site_fract_z
Ac1 0.000 0.000 0.000
Ge1 0.500 0.500 0.314
Mo1 0.000 0.000 0.500
# Fermi-level density of states: 3.0 states/eV per cell
# ΔH_f (0 K): -0.159 eV per atom
# Offset from the most stable computed form: 65 meV/atom

---

11.
# Ac4PtI5 GGA-PBE optimized geometry
data_Ac4PtI5
_symmetry_space_group_name_H-M 'C 1 2/m 1'
_symmetry_Int_Tables_number 12
_cell_length_a 21.133
_cell_length_b 4.444
_cell_length_c 9.711
_cell_angle_alpha 90.00
_cell_angle_beta 103.95
_cell_angle_gamma 90.00
loop_
_symmetry_equiv_pos_as_xyz
'x,y,z'
'-x,-y,-z'
'-x,y,-z'
'x,-y,z'
'x+1/2,y+1/2,z'
'-x+1/2,-y+1/2,-z'
'-x+1/2,y+1/2,-z'
'x+1/2,-y+1/2,z'
loop_
_atom_site_label
_atom_site_fract_x
_atom_site_fract_y
_atom_site_fract_z
Ac1 0.001 0.000 0.292
Ac2 0.149 0.500 0.587
Pt1 0.000 0.500 0.500
I1 0.000 0.500 0.000
I2 0.167 0.000 0.859
I3 0.177 0.000 0.334
# Fermi-level density of states: 7.2 states/eV per cell
# Formation energy (no corrections): -1319 meV/atom

---

12.
# LaGdDyZr GGA-PBE optimized geometry
data_LaGdDyZr
_symmetry_space_group_name_H-M 'F -4 3 m'
_symmetry_Int_Tables_number 216
_symmetry_space_group_name_Hall 'F -4 2 3'
_cell_length_a 7.868
_cell_length_b 7.868
_cell_length_c 7.868
_cell_angle_alpha 90.00
_cell_angle_beta 90.00
_cell_angle_gamma 90.00
loop_
_atom_site_label
_atom_site_fract_x
_atom_site_fract_y
_atom_site_fract_z
La1 0.000 0.000 0.000
Gd1 0.000 0.000 0.500
Dy1 0.250 0.250 0.250
Zr1 0.250 0.250 0.750
# Fermi-level density of states: 28.9 states/eV per cell
# ΔH_f (0 K): 0.204 eV per atom

---

no.,total magnetization (μB/f.u.)
1,0.0
2,0.3
3,0.0
4,0.0
5,0.0
6,0.0
7,0.0
8,3.6
9,0.0
10,0.0
11,0.0
12,8.5